1.
Compound: CsSeN2O
Source: Alexandria via LeMat-Bulk
Functional: GGA-PBE
Structure: relaxed

Results
As for the total energy: -2.294 eV per atom. For the total magnetization, the calculation gives 3.2 μB per cell.

Cell: 4.453 4.453 7.351 Å, 90.00 90.00 90.00°
Fractional coordinates of all 5 atoms:
N1 0.000 0.500 0.000
Cs1 0.000 0.000 0.000
N2 0.500 0.000 0.000
Se1 0.000 0.000 0.500
O1 0.500 0.500 0.500

2.
Compound: CsSiN2O
Source: Alexandria via LeMat-Bulk
Functional: GGA-PBE
Structure: relaxed

Results
As for the total energy: -5.236 eV per atom. For the total magnetization, the calculation gives 3.0 μB per cell.

Cell: 4.088 4.088 3.737 Å, 90.00 90.00 90.00°
Fractional coordinates of all 5 atoms:
Si1 0.000 0.000 0.000
N1 0.000 0.500 0.000
Cs1 0.500 0.500 0.500
N2 0.500 0.000 0.000
O1 0.000 0.000 0.500

Question: Which of these has the highest total magnetization?
Answer: CsSeN2O

Question: total magnetization of number 1 (CsSeN2O)?
Answer: 3.2 μB per cell